## K2PmScO4 (PBE-GGA)

Data for an optimized crystal structure of K2PmScO4.

```
K2PmScO4
1.0
3.4436 0.0000 0.0000
0.0000 5.9409 0.0997
0.0000 -2.0800 6.1998
K Pm Sc O
2 1 1 4
Direct
0.5000 0.0000 0.5000 K
0.0000 0.5000 0.5000 K
0.5000 0.5000 0.0000 Pm
0.0000 0.0000 0.0000 Sc
0.5000 0.2108 0.1820 O
0.5000 0.7892 0.8180 O
0.0000 0.2492 0.8150 O
0.0000 0.7508 0.1850 O
```

- total moment (μB per formula unit) = 0.00
- final energy (eV per atom) = -6.793
- V (A^3/atom) = 15.944
- ΔE_f (raw) (eV/atom) = -2.654